# 1
PrUGa4 after structural relaxation, computed with GGA-PBE.

The structure in POSCAR format:
```
PrUGa4
1.0
5.594 0.000 0.000
2.797 4.844 0.000
2.797 1.615 4.567
Ga U Pr
4 1 1
direct
0.626 0.124 0.625
0.124 0.625 0.625
0.626 0.625 0.124
0.626 0.625 0.625
0.000 0.000 0.000
0.250 0.250 0.250
```

## Properties
The total moment is 3.1 μB/f.u. For the density, the calculation gives 8.83 Mg/m³. Its symmetry is F-43m. The value obtained for the volume is 124 Å³/cell. The total energy is -4.95 eV per atom.


# 2
Pr2UGa after structural relaxation, computed with GGA-PBE.

The structure in POSCAR format:
```
Pr2UGa
1.0
-2.435 0.630 2.131
-2.792 -1.748 -0.124
2.775 -8.117 8.122
U Pr Ga
1 2 1
direct
0.000 0.000 0.000
0.094 0.094 0.718
0.906 0.906 0.282
0.500 0.500 0.500
```

## Properties
The total moment is 1.9 μB/f.u. For the density, the calculation gives 8.92 Mg/m³. Its symmetry is R-3m. The value obtained for the volume is 110 Å³/cell. The total energy is -5.62 eV per atom.


# 3
Pr2YGa6 after structural relaxation, computed with GGA-PBE.

The structure in POSCAR format:
```
Pr2YGa6
1.0
4.411 0.000 0.000
2.205 7.641 1.226
2.205 3.369 6.967
Ga Y Pr
6 1 2
direct
0.826 0.490 0.859
0.000 0.191 0.809
0.174 0.141 0.510
0.174 0.510 0.141
0.826 0.859 0.490
0.000 0.809 0.191
0.500 0.500 0.500
0.632 0.868 0.868
0.368 0.132 0.132
```

## Properties
The total moment is 0.0 μB/f.u. For the density, the calculation gives 6.05 Mg/m³. Its symmetry is Immm. The value obtained for the volume is 217 Å³/cell. The total energy is -4.22 eV per atom.


# 4
PrYGa4 after structural relaxation, computed with GGA-PBE.

The structure in POSCAR format:
```
PrYGa4
1.0
-1.940 -3.797 0.014
3.960 -4.414 0.912
-1.093 -1.816 5.613
Ga Pr Y
4 1 1
direct
0.248 0.419 0.085
0.248 0.085 0.419
0.752 0.915 0.581
0.752 0.581 0.915
0.000 0.000 0.000
0.500 0.500 0.500
```

## Properties
The total moment is 0.0 μB/f.u. For the density, the calculation gives 6.36 Mg/m³. Its symmetry is Immm. The value obtained for the volume is 133 Å³/cell. The total energy is -4.57 eV per atom.


# 5
PrYGa after structural relaxation, computed with GGA-PBE.

The structure in POSCAR format:
```
PrYGa
1.0
1.735 -3.969 7.495
4.980 -2.922 6.450
2.834 -0.640 8.155
Y Pr Ga
1 1 1
direct
0.481 0.481 0.481
0.033 0.033 0.033
0.599 0.599 0.599
```

## Properties
The total moment is 0.0 μB/f.u. For the density, the calculation gives 5.37 Mg/m³. Its symmetry is R3m. The value obtained for the volume is 93 Å³/cell. The total energy is -4.70 eV per atom.


# 6
PrYGa after structural relaxation, computed with GGA-PBE.

The structure in POSCAR format:
```
PrYGa
1.0
-3.758 2.147 1.270
-1.987 -6.249 4.686
4.450 6.021 2.984
Pr Ga Y
3 3 3
direct
0.500 0.000 0.602
0.500 0.398 0.398
0.500 0.602 0.000
0.000 0.667 0.333
0.000 0.333 0.667
0.500 0.000 0.000
0.000 0.000 0.266
0.000 0.734 0.734
0.000 0.266 0.000
```

## Properties
The total moment is 0.5 μB/f.u. For the density, the calculation gives 5.88 Mg/m³. Its symmetry is P-62m. The value obtained for the volume is 254 Å³/cell. The total energy is -5.17 eV per atom.